# 1
This record from the Alexandria database describes a PBEsol-optimized structure of Li2CuSb. The functional is SCAN.

Lattice parameters (Å, degrees): 3.8627 3.8627 4.1987 90.00 90.00 90.00
Fractional positions:
1 Li 0.0000 0.5000 0.0000
2 Li 0.5000 0.0000 0.0000
3 Cu 0.0000 0.0000 0.5000
4 Sb 0.5000 0.5000 0.5000

Computed properties:
The size of the total moment is 0.00 μB/cell. The raw formation energy is -314 meV per atom. As for the space group: P4/mmm, No. 123. The electronic total energy comes out at -14.624 eV/atom. The calculation puts the density of states at the Fermi level at 1.3 states/eV/cell.


# 2
This record from the Alexandria database describes a PBEsol-optimized structure of Li2CuSb. The functional is SCAN.

Lattice parameters (Å, degrees): 4.4149 4.4149 4.4149 60.00 60.00 60.00
Fractional positions:
1 Li 0.0000 0.0000 0.0000
2 Li 0.2500 0.2500 0.2500
3 Cu 0.5000 0.5000 0.5000
4 Sb 0.7500 0.7500 0.7500

Computed properties:
The size of the total moment is 0.00 μB/cell. The raw formation energy is -462 meV per atom. As for the space group: F-43m, No. 216. The electronic total energy comes out at -14.772 eV/atom.


# 3
This record from the Alexandria database describes a PBEsol-optimized structure of LiCuSb. The functional is SCAN.

Lattice parameters (Å, degrees): 4.3790 4.3790 3.2097 90.00 90.00 120.00
Fractional positions:
1 Li 0.0000 0.0000 0.0000
2 Cu 0.3333 0.6667 0.5000
3 Sb 0.6667 0.3333 0.5000

Computed properties:
The size of the total moment is 0.00 μB/cell. The raw formation energy is -282 meV per atom. As for the space group: P-6m2, No. 187. The electronic total energy comes out at -18.566 eV/atom. The calculation puts the density of states at the Fermi level at 0.5 states/eV/cell.


# 4
This record from the Alexandria database describes a PBEsol-optimized structure of Li2CuSb2. The functional is SCAN.

Lattice parameters (Å, degrees): 7.7736 7.7736 3.0506 90.00 90.00 90.00
Fractional positions:
1 Li 0.1119 0.3881 0.0000
2 Li 0.3881 0.8881 0.0000
3 Li 0.6119 0.1119 0.0000
4 Li 0.8881 0.6119 0.0000
5 Cu 0.0000 0.0000 0.0000
6 Cu 0.5000 0.5000 0.0000
7 Sb 0.1905 0.6905 0.5000
8 Sb 0.3095 0.1905 0.5000
9 Sb 0.6905 0.8095 0.5000
10 Sb 0.8095 0.3095 0.5000

Computed properties:
The size of the total moment is 0.00 μB/cell. The raw formation energy is -39 meV per atom. As for the space group: P4/mbm, No. 127. The electronic total energy comes out at -18.940 eV/atom. The calculation puts the density of states at the Fermi level at 3.4 states/eV/cell.


# 5
This record from the Alexandria database describes a PBEsol-optimized structure of Li2CuSb2. The functional is SCAN.

Lattice parameters (Å, degrees): 6.8002 6.8002 4.4468 90.00 90.00 90.00
Fractional positions:
1 Li 0.1589 0.3411 0.0000
2 Li 0.3411 0.8411 0.0000
3 Li 0.6589 0.1589 0.0000
4 Li 0.8411 0.6589 0.0000
5 Cu 0.0000 0.0000 0.5000
6 Cu 0.5000 0.5000 0.5000
7 Sb 0.1513 0.6513 0.5000
8 Sb 0.3487 0.1513 0.5000
9 Sb 0.6513 0.8487 0.5000
10 Sb 0.8487 0.3487 0.5000

Computed properties:
The size of the total moment is 0.00 μB/cell. The raw formation energy is -302 meV per atom. As for the space group: P4/mbm, No. 127. The electronic total energy comes out at -19.202 eV/atom. The calculation puts the density of states at the Fermi level at 2.4 states/eV/cell.


# 6
This record from the Alexandria database describes a PBEsol-optimized structure of LiCuSb2Te. The functional is SCAN.

Lattice parameters (Å, degrees): 4.9796 4.9796 5.4207 90.00 90.00 90.00
Fractional positions:
1 Li 0.0000 0.0000 0.0000
2 Cu 0.5000 0.5000 0.5000
3 Sb 0.0000 0.5000 0.5000
4 Sb 0.5000 0.0000 0.5000
5 Te 0.5000 0.5000 0.0000

Computed properties:
The size of the total moment is 0.00 μB/cell. The raw formation energy is 213 meV per atom. As for the space group: P4/mmm, No. 123. The electronic total energy comes out at -25.660 eV/atom. The calculation puts the density of states at the Fermi level at 2.9 states/eV/cell.


Number 2 is which compound?
Li2CuSb